First-principles (PBE) data for a geometry-optimized LiSbPd4 structure, as listed in OQMD via LeMat-Bulk.

Calculated volume ... 94.6 Å³/f.u.
Final energy ... -4.9431 eV per atom
Space group ... No. 12

Lattice parameters (Å, degrees): 4.3195 10.1501 4.3160 90.00 90.15 90.00
Last column: nearest neighbours and their distance in Å.
Element x y z (fractional)
Li: 0.0000 0.0000 0.0000  8 Pd 2.68-2.69
Li: 0.5000 0.5000 0.0000  8 Pd 2.68-2.69
Sb: 0.0000 0.5000 0.5000  8 Pd 2.68-2.69
Sb: 0.5000 0.0000 0.5000  8 Pd 2.68-2.69
Pd: 0.0000 0.1576 0.5000  2 Li 2.69, 2 Sb 2.69, 4 Pd 2.86-2.87
Pd: 0.0000 0.3441 0.0000  2 Sb 2.68, 2 Li 2.68, 4 Pd 2.87-2.88
Pd: 0.0000 0.6559 0.0000  2 Sb 2.68, 2 Li 2.68, 4 Pd 2.87-2.88
Pd: 0.0000 0.8424 0.5000  2 Li 2.69, 2 Sb 2.69, 4 Pd 2.86-2.87
Pd: 0.5000 0.1559 0.0000  2 Sb 2.68, 2 Li 2.68, 4 Pd 2.87-2.88
Pd: 0.5000 0.3424 0.5000  2 Li 2.69, 2 Sb 2.69, 4 Pd 2.86-2.87
Pd: 0.5000 0.6576 0.5000  2 Li 2.69, 2 Sb 2.69, 4 Pd 2.86-2.87
Pd: 0.5000 0.8441 0.0000  2 Sb 2.68, 2 Li 2.68, 4 Pd 2.87-2.88

***

First-principles (PBE) data for a geometry-optimized Li2SbPd structure, as listed in OQMD via LeMat-Bulk.

Calculated volume ... 63.8 Å³/f.u.
Final energy ... -3.9415 eV per atom
Space group ... No. 216

Lattice parameters (Å, degrees): 6.3440 6.3440 6.3440 90.00 90.00 90.00
Last column: nearest neighbours and their distance in Å.
Element x y z (fractional)
Li: 0.0000 0.0000 0.0000  4 Li 2.75, 4 Pd 2.75
Li: 0.0000 0.5000 0.5000  4 Li 2.75, 4 Pd 2.75
Li: 0.2500 0.2500 0.2500  4 Li 2.75, 4 Sb 2.75
Li: 0.2500 0.7500 0.7500  4 Li 2.75, 4 Sb 2.75
Li: 0.5000 0.0000 0.5000  4 Li 2.75, 4 Pd 2.75
Li: 0.5000 0.5000 0.0000  4 Li 2.75, 4 Pd 2.75
Li: 0.7500 0.2500 0.7500  4 Li 2.75, 4 Sb 2.75
Li: 0.7500 0.7500 0.2500  4 Li 2.75, 4 Sb 2.75
Sb: 0.0000 0.0000 0.5000  4 Pd 2.75, 4 Li 2.75
Sb: 0.0000 0.5000 0.0000  4 Li 2.75, 4 Pd 2.75
Sb: 0.5000 0.0000 0.0000  4 Li 2.75, 4 Pd 2.75
Sb: 0.5000 0.5000 0.5000  4 Pd 2.75, 4 Li 2.75
Pd: 0.2500 0.2500 0.7500  4 Li 2.75, 4 Sb 2.75
Pd: 0.2500 0.7500 0.2500  4 Li 2.75, 4 Sb 2.75
Pd: 0.7500 0.2500 0.2500  4 Li 2.75, 4 Sb 2.75
Pd: 0.7500 0.7500 0.7500  4 Sb 2.75, 4 Li 2.75